# SrCd2Pb (PBEsol, optimized geometry)
# - density of states at the Fermi level (states/eV per cell) = 1.5
# - calculated formation energy (eV per formula unit) = -0.8
# - energy (eV/atom) = -2.266
data_SrCd2Pb
_cell_length_a 3.991
_cell_length_b 3.991
_cell_length_c 7.019
_cell_angle_alpha 90.00
_cell_angle_beta 90.00
_cell_angle_gamma 90.00
_space_group_name_H-M_alt 'P 4/m m m'
_space_group_IT_number 123
_space_group_name_Hall '-P 4 2'
loop_
_atom_site_label
_atom_site_fract_x
_atom_site_fract_y
_atom_site_fract_z
Sr1 0.000 0.000 0.000
Cd1 0.500 0.500 0.274
Pb1 0.000 0.000 0.500

=====

# SrCdPb3 (PBEsol, optimized geometry)
# - density of states at the Fermi level (states/eV per cell) = 2.6
# - calculated formation energy (eV per formula unit) = 0.5
# - energy (eV/atom) = -2.916
data_SrCdPb3
_cell_length_a 5.614
_cell_length_b 5.614
_cell_length_c 5.614
_cell_angle_alpha 90.00
_cell_angle_beta 90.00
_cell_angle_gamma 90.00
_space_group_name_H-M_alt 'P m -3 m'
_space_group_IT_number 221
_space_group_name_Hall '-P 4 2 3'
loop_
_atom_site_label
_atom_site_fract_x
_atom_site_fract_y
_atom_site_fract_z
Sr1 0.000 0.000 0.000
Cd1 0.500 0.500 0.500
Pb1 0.000 0.500 0.500

=====

# SrCdPb2 (PBEsol, optimized geometry)
# - density of states at the Fermi level (states/eV per cell) = 4.6
# - calculated formation energy (eV per formula unit) = -1.1
# - energy (eV/atom) = -3.043
data_SrCdPb2
_cell_length_a 4.810
_cell_length_b 4.810
_cell_length_c 9.923
_cell_angle_alpha 90.00
_cell_angle_beta 90.00
_cell_angle_gamma 90.00
_space_group_name_H-M_alt 'I -4 m 2'
_space_group_IT_number 119
_space_group_name_Hall 'I -4 -2'
loop_
_atom_site_label
_atom_site_fract_x
_atom_site_fract_y
_atom_site_fract_z
Sr1 0.000 0.000 0.000
Cd1 0.000 0.500 0.250
Pb1 0.000 0.000 0.500
Pb2 0.000 0.500 0.750

=====

# SrCd4Pb (PBEsol, optimized geometry)
# - density of states at the Fermi level (states/eV per cell) = 12.0
# - calculated formation energy (eV per formula unit) = -1.1
# - energy (eV/atom) = -1.962
data_SrCd4Pb
_cell_length_a 8.466
_cell_length_b 8.466
_cell_length_c 8.466
_cell_angle_alpha 90.00
_cell_angle_beta 90.00
_cell_angle_gamma 90.00
_space_group_name_H-M_alt 'F -4 3 m'
_space_group_IT_number 216
_space_group_name_Hall 'F -4 2 3'
loop_
_atom_site_label
_atom_site_fract_x
_atom_site_fract_y
_atom_site_fract_z
Sr1 0.000 0.000 0.000
Cd1 0.125 0.125 0.375
Pb1 0.250 0.250 0.750

=====

# SrCd2Pb (PBEsol, optimized geometry)
# - density of states at the Fermi level (states/eV per cell) = 2.0
# - calculated formation energy (eV per formula unit) = -1.0
# - energy (eV/atom) = -2.311
data_SrCd2Pb
_cell_length_a 4.717
_cell_length_b 4.717
_cell_length_c 4.825
_cell_angle_alpha 90.00
_cell_angle_beta 90.00
_cell_angle_gamma 90.00
_space_group_name_H-M_alt 'P 4/m m m'
_space_group_IT_number 123
_space_group_name_Hall '-P 4 2'
loop_
_atom_site_label
_atom_site_fract_x
_atom_site_fract_y
_atom_site_fract_z
Sr1 0.000 0.000 0.000
Cd1 0.000 0.500 0.500
Pb1 0.500 0.500 0.000

=====

# SrCd2Pb (PBEsol, optimized geometry)
# - density of states at the Fermi level (states/eV per cell) = 4.3
# - calculated formation energy (eV per formula unit) = -1.0
# - energy (eV/atom) = -2.320
data_SrCd2Pb
_cell_length_a 4.835
_cell_length_b 4.835
_cell_length_c 9.249
_cell_angle_alpha 90.00
_cell_angle_beta 90.00
_cell_angle_gamma 90.00
_space_group_name_H-M_alt 'I 4/m m m'
_space_group_IT_number 139
_space_group_name_Hall '-I 4 2'
loop_
_atom_site_label
_atom_site_fract_x
_atom_site_fract_y
_atom_site_fract_z
Sr1 0.000 0.000 0.000
Cd1 0.000 0.500 0.250
Pb1 0.000 0.000 0.500